Version one
A geometry-optimized BeNiBPd structure, computed with GGA-PBE.

The structure belongs to space group F-43m (No. 216); the cell edges are 5.4882, 5.4882 and 5.4882 Å and the angles 90.00°, 90.00° and 90.00°. The asymmetric unit holds Be at (0.0000, 0.0000, 0.0000), Ni at (0.2500, 0.2500, 0.7500), B at (0.2500, 0.2500, 0.2500) and Pd at (0.0000, 0.0000, 0.5000).

Version two
A geometry-optimized BeNiBPd structure, computed with GGA-PBE.

The structure belongs to space group F-43m (No. 216); the cell edges are 5.3672, 5.3672 and 5.3672 Å and the angles 90.00°, 90.00° and 90.00°. The asymmetric unit holds Be at (0.0000, 0.0000, 0.0000), Ni at (0.2500, 0.2500, 0.7500), B at (0.0000, 0.0000, 0.5000) and Pd at (0.2500, 0.2500, 0.2500).

Most stable one: version two, least stable one: version one.

Version one
A geometry-optimized BeNiBPt structure, computed with GGA-PBE.

The structure belongs to space group F-43m (No. 216); the cell edges are 5.5286, 5.5286 and 5.5286 Å and the angles 90.00°, 90.00° and 90.00°. The asymmetric unit holds Be at (0.0000, 0.0000, 0.0000), Ni at (0.2500, 0.2500, 0.7500), B at (0.2500, 0.2500, 0.2500) and Pt at (0.0000, 0.0000, 0.5000).

Version two
A geometry-optimized BeNiBPt structure, computed with GGA-PBE.

The structure belongs to space group F-43m (No. 216); the cell edges are 5.4074, 5.4074 and 5.4074 Å and the angles 90.00°, 90.00° and 90.00°. The asymmetric unit holds Be at (0.0000, 0.0000, 0.0000), Ni at (0.2500, 0.2500, 0.7500), B at (0.0000, 0.0000, 0.5000) and Pt at (0.2500, 0.2500, 0.2500).

Most stable one: version two, least stable one: version one.

Version one
A geometry-optimized BeReNiB structure, computed with GGA-PBE.

The structure belongs to space group F-43m (No. 216); the cell edges are 5.4814, 5.4814 and 5.4814 Å and the angles 90.00°, 90.00° and 90.00°. The asymmetric unit holds Be at (0.0000, 0.0000, 0.0000), Re at (0.0000, 0.0000, 0.5000), Ni at (0.2500, 0.2500, 0.7500) and B at (0.2500, 0.2500, 0.2500).

Version two
A geometry-optimized BeReNiB structure, computed with GGA-PBE.

The structure belongs to space group F-43m (No. 216); the cell edges are 5.5065, 5.5065 and 5.5065 Å and the angles 90.00°, 90.00° and 90.00°. The asymmetric unit holds Be at (0.0000, 0.0000, 0.0000), Re at (0.2500, 0.2500, 0.7500), Ni at (0.0000, 0.0000, 0.5000) and B at (0.2500, 0.2500, 0.2500).

Most stable one: version one, least stable one: version two.

Version one
A geometry-optimized BeTcNiB structure, computed with GGA-PBE.

The structure belongs to space group F-43m (No. 216); the cell edges are 5.4572, 5.4572 and 5.4572 Å and the angles 90.00°, 90.00° and 90.00°. The asymmetric unit holds Be at (0.0000, 0.0000, 0.0000), Tc at (0.0000, 0.0000, 0.5000), Ni at (0.2500, 0.2500, 0.7500) and B at (0.2500, 0.2500, 0.2500).

Version two
A geometry-optimized BeTcNiB structure, computed with GGA-PBE.

The structure belongs to space group F-43m (No. 216); the cell edges are 5.4652, 5.4652 and 5.4652 Å and the angles 90.00°, 90.00° and 90.00°. The asymmetric unit holds Be at (0.0000, 0.0000, 0.0000), Tc at (0.2500, 0.2500, 0.7500), Ni at (0.0000, 0.0000, 0.5000) and B at (0.2500, 0.2500, 0.2500).

Version three
A geometry-optimized BeTcNiB structure, computed with GGA-PBE.

The structure belongs to space group F-43m (No. 216); the cell edges are 5.3334, 5.3334 and 5.3334 Å and the angles 90.00°, 90.00° and 90.00°. The asymmetric unit holds Be at (0.0000, 0.0000, 0.0000), Tc at (0.2500, 0.2500, 0.2500), Ni at (0.2500, 0.2500, 0.7500) and B at (0.0000, 0.0000, 0.5000).

Most stable one: version three, least stable one: version two.

Version one
A geometry-optimized BeZnNiB structure, computed with GGA-PBE.

The structure belongs to space group F-43m (No. 216); the cell edges are 5.3498, 5.3498 and 5.3498 Å and the angles 90.00°, 90.00° and 90.00°. The asymmetric unit holds Be at (0.0000, 0.0000, 0.0000), Zn at (0.2500, 0.2500, 0.7500), Ni at (0.0000, 0.0000, 0.5000) and B at (0.2500, 0.2500, 0.2500).

Version two
A geometry-optimized BeZnNiB structure, computed with GGA-PBE.

The structure belongs to space group F-43m (No. 216); the cell edges are 5.2877, 5.2877 and 5.2877 Å and the angles 90.00°, 90.00° and 90.00°. The asymmetric unit holds Be at (0.0000, 0.0000, 0.0000), Zn at (0.2500, 0.2500, 0.7500), Ni at (0.2500, 0.2500, 0.2500) and B at (0.0000, 0.0000, 0.5000).

Most stable one: version two, least stable one: version one.

Version one
A geometry-optimized BeBPd structure, computed with GGA-PBE.

The structure belongs to space group F-43m (No. 216); the cell edges are 5.1710, 5.1710 and 5.1710 Å and the angles 90.00°, 90.00° and 90.00°. The asymmetric unit holds Be at (0.0000, 0.0000, 0.0000), B at (0.0000, 0.0000, 0.5000) and Pd at (0.2500, 0.2500, 0.7500).

Version two
A geometry-optimized BeBPd structure, computed with GGA-PBE.

The structure belongs to space group F-43m (No. 216); the cell edges are 5.0274, 5.0274 and 5.0274 Å and the angles 90.00°, 90.00° and 90.00°. The asymmetric unit holds Be at (0.0000, 0.0000, 0.0000), B at (0.2500, 0.2500, 0.2500) and Pd at (0.0000, 0.0000, 0.5000).

Most stable one: version two, least stable one: version one.

Version one
A geometry-optimized BeB4Pd structure, computed with GGA-PBE.

The structure belongs to space group P6/mmm (No. 191); the cell edges are 2.9677, 2.9677 and 6.4970 Å and the angles 90.00°, 90.00° and 120.00°. The asymmetric unit holds Be at (0.0000, 0.0000, 0.0000), B at (0.3333, 0.6667, 0.2086) and Pd at (0.0000, 0.0000, 0.5000).

Version two
A geometry-optimized BeB4Pd structure, computed with GGA-PBE.

The structure belongs to space group Immm (No. 71); the cell edges are 2.9554, 5.1854 and 6.6468 Å and the angles 90.00°, 90.00° and 90.00°. The asymmetric unit holds Be at (0.0000, 0.0000, 0.0000), B at (0.0000, 0.3344, 0.2665) and Pd at (0.0000, 0.0000, 0.5000).

Most stable one: version one, least stable one: version two.

Version one
A geometry-optimized ScBeBPd structure, computed with GGA-PBE.

The structure belongs to space group F-43m (No. 216); the cell edges are 5.8424, 5.8424 and 5.8424 Å and the angles 90.00°, 90.00° and 90.00°. The asymmetric unit holds Sc at (0.0000, 0.0000, 0.0000), Be at (0.2500, 0.2500, 0.2500), B at (0.0000, 0.0000, 0.5000) and Pd at (0.2500, 0.2500, 0.7500).

Version two
A geometry-optimized ScBeBPd structure, computed with GGA-PBE.

The structure belongs to space group F-43m (No. 216); the cell edges are 5.9049, 5.9049 and 5.9049 Å and the angles 90.00°, 90.00° and 90.00°. The asymmetric unit holds Sc at (0.0000, 0.0000, 0.0000), Be at (0.0000, 0.0000, 0.5000), B at (0.2500, 0.2500, 0.2500) and Pd at (0.2500, 0.2500, 0.7500).

Most stable one: version two, least stable one: version one.

Version one
A geometry-optimized BeTlBPd structure, computed with GGA-PBE.

The structure belongs to space group F-43m (No. 216); the cell edges are 6.0341, 6.0341 and 6.0341 Å and the angles 90.00°, 90.00° and 90.00°. The asymmetric unit holds Be at (0.0000, 0.0000, 0.0000), Tl at (0.2500, 0.2500, 0.2500), B at (0.0000, 0.0000, 0.5000) and Pd at (0.2500, 0.2500, 0.7500).

Version two
A geometry-optimized BeTlBPd structure, computed with GGA-PBE.

The structure belongs to space group F-43m (No. 216); the cell edges are 6.1758, 6.1758 and 6.1758 Å and the angles 90.00°, 90.00° and 90.00°. The asymmetric unit holds Be at (0.0000, 0.0000, 0.0000), Tl at (0.2500, 0.2500, 0.2500), B at (0.2500, 0.2500, 0.7500) and Pd at (0.0000, 0.0000, 0.5000).

Most stable one: version one, least stable one: version two.

Version one
A geometry-optimized YBeBPd structure, computed with GGA-PBE.

The structure belongs to space group F-43m (No. 216); the cell edges are 6.0416, 6.0416 and 6.0416 Å and the angles 90.00°, 90.00° and 90.00°. The asymmetric unit holds Y at (0.0000, 0.0000, 0.0000), Be at (0.2500, 0.2500, 0.2500), B at (0.2500, 0.2500, 0.7500) and Pd at (0.0000, 0.0000, 0.5000).

Version two
A geometry-optimized YBeBPd structure, computed with GGA-PBE.

The structure belongs to space group F-43m (No. 216); the cell edges are 6.2105, 6.2105 and 6.2105 Å and the angles 90.00°, 90.00° and 90.00°. The asymmetric unit holds Y at (0.0000, 0.0000, 0.0000), Be at (0.0000, 0.0000, 0.5000), B at (0.2500, 0.2500, 0.2500) and Pd at (0.2500, 0.2500, 0.7500).

Most stable one: version one, least stable one: version two.

Version one
A geometry-optimized PmBeB4 structure, computed with GGA-PBE.

The structure belongs to space group P6/mmm (No. 191); the cell edges are 3.1158, 3.1158 and 6.9094 Å and the angles 90.00°, 90.00° and 120.00°. The asymmetric unit holds Pm at (0.0000, 0.0000, 0.0000), Be at (0.0000, 0.0000, 0.5000) and B at (0.3333, 0.6667, 0.3058).

Version two
A geometry-optimized PmBeB4 structure, computed with GGA-PBE.

The structure belongs to space group Immm (No. 71); the cell edges are 3.1619, 5.2392 and 7.9717 Å and the angles 90.00°, 90.00° and 90.00°. The asymmetric unit holds Pm at (0.0000, 0.0000, 0.0000), Be at (0.0000, 0.0000, 0.5000) and B at (0.0000, 0.3257, 0.2564).

Most stable one: version one, least stable one: version two.

Version one
A geometry-optimized BeBPt structure, computed with GGA-PBE.

The structure belongs to space group F-43m (No. 216); the cell edges are 5.0541, 5.0541 and 5.0541 Å and the angles 90.00°, 90.00° and 90.00°. The asymmetric unit holds Be at (0.0000, 0.0000, 0.0000), B at (0.2500, 0.2500, 0.2500) and Pt at (0.0000, 0.0000, 0.5000).

Version two
A geometry-optimized BeBPt structure, computed with GGA-PBE.

The structure belongs to space group F-43m (No. 216); the cell edges are 5.1998, 5.1998 and 5.1998 Å and the angles 90.00°, 90.00° and 90.00°. The asymmetric unit holds Be at (0.0000, 0.0000, 0.0000), B at (0.0000, 0.0000, 0.5000) and Pt at (0.2500, 0.2500, 0.7500).

Most stable one: version one, least stable one: version two.

Version one
A geometry-optimized YBeBPt structure, computed with GGA-PBE.

The structure belongs to space group F-43m (No. 216); the cell edges are 6.2550, 6.2550 and 6.2550 Å and the angles 90.00°, 90.00° and 90.00°. The asymmetric unit holds Y at (0.0000, 0.0000, 0.0000), Be at (0.0000, 0.0000, 0.5000), B at (0.2500, 0.2500, 0.2500) and Pt at (0.2500, 0.2500, 0.7500).

Version two
A geometry-optimized YBeBPt structure, computed with GGA-PBE.

The structure belongs to space group F-43m (No. 216); the cell edges are 6.0171, 6.0171 and 6.0171 Å and the angles 90.00°, 90.00° and 90.00°. The asymmetric unit holds Y at (0.0000, 0.0000, 0.0000), Be at (0.2500, 0.2500, 0.2500), B at (0.2500, 0.2500, 0.7500) and Pt at (0.0000, 0.0000, 0.5000).

Version three
A geometry-optimized YBeBPt structure, computed with GGA-PBE.

The structure belongs to space group F-43m (No. 216); the cell edges are 6.1766, 6.1766 and 6.1766 Å and the angles 90.00°, 90.00° and 90.00°. The asymmetric unit holds Y at (0.0000, 0.0000, 0.0000), Be at (0.2500, 0.2500, 0.2500), B at (0.0000, 0.0000, 0.5000) and Pt at (0.2500, 0.2500, 0.7500).

Most stable one: version two, least stable one: version three.

Version one
A geometry-optimized BeReBTe structure, computed with GGA-PBE.

The structure belongs to space group F-43m (No. 216); the cell edges are 6.1132, 6.1132 and 6.1132 Å and the angles 90.00°, 90.00° and 90.00°. The asymmetric unit holds Be at (0.0000, 0.0000, 0.0000), Re at (0.2500, 0.2500, 0.2500), B at (0.2500, 0.2500, 0.7500) and Te at (0.0000, 0.0000, 0.5000).

Version two
A geometry-optimized BeReBTe structure, computed with GGA-PBE.

The structure belongs to space group F-43m (No. 216); the cell edges are 6.0616, 6.0616 and 6.0616 Å and the angles 90.00°, 90.00° and 90.00°. The asymmetric unit holds Be at (0.0000, 0.0000, 0.0000), Re at (0.0000, 0.0000, 0.5000), B at (0.2500, 0.2500, 0.2500) and Te at (0.2500, 0.2500, 0.7500).

Most stable one: version two, least stable one: version one.